Compound: Hf31AlO64
Source: the Open Quantum Materials Database
Functional: GGA-PBE
Structure: optimized geometry

Summary:
Its crystal system is triclinic. The energy relative to the lowest polymorph listed for this composition comes out at 0 meV per atom.

a = 10.190 Å, b = 10.277 Å, c = 10.551 Å
α = 90.04°, β = 99.48°, γ = 90.22°
Fractional positions:
Hf1 0.000 0.000 0.000
Hf2 0.000 0.002 0.499
Hf3 0.000 0.501 0.999
Hf4 0.001 0.791 0.251
Hf5 0.221 0.253 0.543
Hf6 0.222 0.251 0.041
Hf7 0.223 0.043 0.292
Hf8 0.223 0.044 0.792
Hf9 0.223 0.543 0.292
Hf10 0.224 0.542 0.791
Hf11 0.224 0.751 0.041
Hf12 0.224 0.752 0.544
Hf13 0.500 0.501 0.998
Hf14 0.500 0.503 0.500
Hf15 0.500 0.794 0.250
Hf16 0.501 0.006 0.501
Hf17 0.501 0.293 0.248
Hf18 0.503 0.002 0.995
Hf19 0.503 0.289 0.748
Hf20 0.505 0.799 0.750
Hf21 0.719 0.247 0.541
Hf22 0.722 0.543 0.292
Hf23 0.722 0.544 0.791
Hf24 0.723 0.751 0.041
Hf25 0.723 0.755 0.542
Hf26 0.724 0.042 0.289
Hf27 0.724 0.248 0.035
Hf28 0.991 0.287 0.750
Hf29 0.998 0.500 0.502
Hf30 0.999 0.293 0.250
Hf31 0.999 0.794 0.751
Al1 0.737 0.032 0.808
O1 0.083 0.143 0.636
O2 0.083 0.151 0.385
O3 0.085 0.143 0.135
O4 0.085 0.149 0.886
O5 0.085 0.643 0.136
O6 0.085 0.650 0.386
O7 0.085 0.650 0.885
O8 0.086 0.643 0.636
O9 0.133 0.399 0.657
O10 0.135 0.392 0.906
O11 0.136 0.394 0.407
O12 0.137 0.893 0.906
O13 0.138 0.400 0.156
O14 0.138 0.893 0.407
O15 0.139 0.900 0.157
O16 0.139 0.901 0.656
O17 0.324 0.108 0.471
O18 0.327 0.187 0.722
O19 0.327 0.607 0.972
O20 0.328 0.186 0.221
O21 0.328 0.686 0.222
O22 0.329 0.610 0.471
O23 0.330 0.110 0.970
O24 0.330 0.687 0.722
O25 0.390 0.364 0.571
O26 0.394 0.359 0.069
O27 0.394 0.935 0.819
O28 0.395 0.435 0.819
O29 0.395 0.436 0.320
O30 0.395 0.937 0.319
O31 0.396 0.858 0.068
O32 0.398 0.859 0.570
O33 0.566 0.161 0.616
O34 0.584 0.644 0.135
O35 0.585 0.145 0.128
O36 0.585 0.650 0.635
O37 0.585 0.651 0.385
O38 0.585 0.651 0.885
O39 0.586 0.149 0.378
O40 0.594 0.142 0.873
O41 0.636 0.393 0.406
O42 0.637 0.391 0.905
O43 0.637 0.405 0.655
O44 0.638 0.401 0.154
O45 0.638 0.894 0.407
O46 0.638 0.901 0.155
O47 0.641 0.920 0.663
O48 0.644 0.894 0.906
O49 0.816 0.174 0.723
O50 0.826 0.609 0.474
O51 0.828 0.104 0.970
O52 0.828 0.108 0.470
O53 0.828 0.185 0.218
O54 0.828 0.607 0.972
O55 0.828 0.685 0.223
O56 0.828 0.687 0.723
O57 0.891 0.356 0.573
O58 0.891 0.434 0.820
O59 0.892 0.935 0.820
O60 0.893 0.435 0.321
O61 0.895 0.357 0.068
O62 0.895 0.935 0.319
O63 0.896 0.856 0.070
O64 0.896 0.858 0.570